Entry 1:
The following is a DFT calculation (PBE) of a relaxed structure of Na2VSb.

Output
Space-group type: No. 122
Formation energy (no corrections) (eV per atom): 0.415
DOS(E_F) (states/eV per atom): 0.77

a = 8.927 Å, b = 8.927 Å, c = 6.883 Å
α = 49.57°, β = 49.57°, γ = 90.00°
Site moments in Bohr magnetons follow the coordinates.
Element x y z (fractional)
Sb  0.000  0.000  0.000  -0.10
Sb  0.750  0.250  0.500  -0.10
V  0.500  0.500  0.000  2.94
V  0.250  0.750  0.500  2.94
Na  0.644  0.125  0.250  0.02
Na  0.106  0.625  0.250  0.02
Na  0.375  0.356  0.750  0.02
Na  0.875  0.894  0.750  0.02

Entry 2:
The following is a DFT calculation (PBE) of a relaxed structure of Li2NiHRh.

Output
Space-group type: No. 123
Raw total energy (eV/atom): -4.12
DOS(E_F) (states/eV per atom): 0.41

a = 3.922 Å, b = 3.922 Å, c = 3.255 Å
α = 90.00°, β = 90.00°, γ = 90.00°
Element x y z (fractional)
Ni  0.000  0.000  0.500
Rh  0.500  0.500  0.500
H  0.000  0.000  0.000
Li  0.000  0.500  0.000
Li  0.500  0.000  0.000

Entry 3:
The following is a DFT calculation (PBE) of a relaxed structure of Ag2BiPd2.

Output
Space-group type: No. 127
E_form (eV/atom): -0.031
DOS(E_F) (states/eV per atom): 0.56

a = 7.243 Å, b = 7.243 Å, c = 3.723 Å
α = 90.00°, β = 90.00°, γ = 90.00°
Element x y z (fractional)
Pd  0.359  0.859  0.000
Pd  0.859  0.641  0.000
Pd  0.641  0.141  0.000
Pd  0.141  0.359  0.000
Bi  0.000  0.000  0.000
Bi  0.500  0.500  0.000
Ag  0.153  0.653  0.500
Ag  0.653  0.847  0.500
Ag  0.847  0.347  0.500
Ag  0.347  0.153  0.500

Entry 4:
The following is a DFT calculation (PBE) of a relaxed structure of Ho3Er3TmS8.

Output
Space-group type: No. 166
Formation energy (no corrections) (eV per atom): -2.035
DOS(E_F) (states/eV per atom): 0.41

a = 7.728 Å, b = 7.728 Å, c = 7.733 Å
α = 119.98°, β = 90.00°, γ = 120.00°
Element x y z (fractional)
Ho  0.000  0.000  0.000
Ho  0.000  0.500  0.000
Ho  0.500  0.500  0.000
Er  0.500  0.000  0.500
Er  0.500  0.500  0.500
Er  0.000  0.500  0.500
Tm  0.000  0.000  0.500
S  0.251  0.501  0.252
S  0.749  0.499  0.748
S  0.750  0.501  0.252
S  0.250  0.499  0.748
S  0.750  0.001  0.252
S  0.250  0.999  0.748
S  0.251  0.001  0.252
S  0.749  0.999  0.748